# VAs2BrO PBE+U relaxed
# DFT total energy: -4.417 eV per atom
# density: 4.8 g cm⁻³
data_VAs2BrO
_chemical_formula_sum 'V1 As2 Br1 O1'
_cell_length_a 4.118
_cell_length_b 4.118
_cell_length_c 6.104
_cell_angle_alpha 90.00
_cell_angle_beta 90.00
_cell_angle_gamma 90.00
_symmetry_space_group_name_H-M 'P 4/m m m'
_symmetry_Int_Tables_number 123
_symmetry_space_group_name_Hall '-P 4 2'
loop_
_atom_site_label
_atom_site_type_symbol
_atom_site_fract_x
_atom_site_fract_y
_atom_site_fract_z
V1 V 0.000 0.000 0.000
As1 As 0.000 0.500 0.500
Br1 Br 0.500 0.500 0.000
O1 O 0.500 0.500 0.500